Density functional theory data (PBE) for a geometry-optimized KMg4Pb8 structure.

a b c (Å): 6.321 8.432 8.432
angles (deg): 81.92 67.99 67.99
Fractional coordinates of all 13 atoms:
1 Pb 0.000 0.654 0.346
2 Pb 0.346 0.654 0.654
3 Pb 0.500 0.782 0.218
4 Pb 0.654 0.346 0.346
5 Pb 0.718 0.782 0.782
6 Pb 0.500 0.218 0.782
7 Pb 0.000 0.346 0.654
8 Pb 0.282 0.218 0.218
9 Mg 0.000 0.500 0.000
10 Mg 0.500 0.000 0.500
11 Mg 0.500 0.500 0.000
12 Mg 0.000 0.000 0.500
13 K 0.000 0.000 0.000

Output
Distance to the lowest polymorph of the same formula ... 0 meV per atom
Formation enthalpy at 0 K ... -6 kJ/mol of atoms
SG ... I4/mmm
E_tot ... -2.921 eV per atom